Computed, not measured: an optimized crystal structure of SmDy2YEr5 at the PBE level of DFT.

Cell: 8.8815 8.8815 14.6155 Å, 90.00 90.00 90.00°
Last column: nearest neighbours and their distance in Å.
Space group I4/mcm (No. 140)
One atom of each set of equivalent atoms:
Sm 0.0000 0.0000 0.2500 x4  10 Er 3.62-3.65
Dy 0.1126 0.3874 0.0000 x8  1 Dy 2.83, 2 Er 2.99
Y 0.0000 0.5000 0.2500 x4  4 Er 3.11
Er 0.0000 0.0000 0.0000 x4  4 Dy 3.58, 2 Sm 3.65, 8 Er 3.73
Er 0.2060 0.2940 0.3679 x16  1 Dy 2.99, 1 Y 3.11

Calculated values
Energy relative to the elements in eV/atom: 0.293
Theoretical density in g/cm3: 8.07

Computed, not measured: an optimized crystal structure of Sm2DyY4Er2 at the PBE level of DFT.

Cell: 18.6881 3.5995 9.5646 Å, 90.00 115.77 90.00°
Last column: nearest neighbours and their distance in Å.
Space group C2/m (No. 12)
One atom of each set of equivalent atoms:
Sm 0.1486 0.0000 0.1676 x4  3 Er 3.53-3.54, 7 Y 3.56-3.61, 2 Sm 3.60
Dy 0.0000 0.0000 0.5000 x2  6 Y 3.53, 4 Er 3.60, 2 Dy 3.60
Y 0.0186 0.5000 0.8320 x4  2 Dy 3.53, 1 Er 3.54, 4 Sm 3.56-3.61, 5 Y 3.57-3.60
Y 0.1849 0.0000 0.8321 x4  2 Er 3.53, 1 Dy 3.53, 3 Sm 3.56-3.59, 6 Y 3.56-3.60
Er 0.1667 0.5000 0.5004 x4  3 Sm 3.53-3.54, 3 Y 3.53-3.54, 2 Dy 3.60, 4 Er 3.60

Calculated values
Energy relative to the elements in eV/atom: 0.007
Theoretical density in g/cm3: 6.61